Computed, not measured: a geometry-optimized TlSiHgTe4 structure at the PBE level of DFT.

abc: 7.3573 7.0989 10.3007
angles: 90.00 105.75 90.00
Space group P2_1/m (No. 11)
Asymmetric unit:
1 Tl 0.1742 0.2500 0.0266 x2
2 Si 0.2331 0.7500 0.2910 x2
3 Hg 0.2810 0.2500 0.6902 x2
4 Te 0.0009 0.0186 0.2793 x4
5 Te 0.3666 0.7500 0.0904 x2
6 Te 0.4878 0.2500 0.4930 x2

## Properties
DOS at the Fermi energy in states/eV per atom: 0.170
DFT total energy in eV/atom: -3.021

***

Computed, not measured: a geometry-optimized Tm6Si2HgTe3 structure at the PBE level of DFT.

abc: 18.6605 4.1741 8.6075
angles: 90.00 106.37 90.00
Space group C2/m (No. 12)
Asymmetric unit:
1 Tm 0.0080 0.0000 0.2524 x4
2 Tm 0.1677 0.5000 0.1052 x4
3 Tm 0.1755 0.5000 0.5605 x4
4 Si 0.1654 0.0000 0.3290 x4
5 Hg 0.0000 0.5000 0.0000 x2
6 Te 0.0000 0.5000 0.5000 x2
7 Te 0.1650 0.0000 0.8290 x4

## Properties
DOS at the Fermi energy in states/eV per atom: 0.540
DFT total energy in eV/atom: -4.897

***

Computed, not measured: a geometry-optimized Tm8Si3HgTe4 structure at the PBE level of DFT.

abc: 8.3753 8.3753 21.0918
angles: 90.00 90.00 120.00
Space group R-3m (No. 166, hexagonal axes)
Asymmetric unit:
1 Tm 0.0000 0.0000 0.2380 x6
2 Tm 0.0136 0.5068 0.7583 x18
3 Si 0.0000 0.5000 0.5000 x9
4 Hg 0.0000 0.0000 0.5000 x3
5 Te 0.0000 0.0000 0.0000 x3
6 Te 0.0000 0.5000 0.0000 x9

## Properties
DOS at the Fermi energy in states/eV per atom: 0.418
DFT total energy in eV/atom: -5.023

***

Computed, not measured: a geometry-optimized Y8Si3HgTe4 structure at the PBE level of DFT.

abc: 8.4853 8.4853 21.4022
angles: 90.00 90.00 120.00
Space group R-3m (No. 166, hexagonal axes)
Asymmetric unit:
1 Y 0.0000 0.0000 0.2386 x6
2 Y 0.0142 0.5071 0.7574 x18
3 Si 0.0000 0.5000 0.5000 x9
4 Hg 0.0000 0.0000 0.5000 x3
5 Te 0.0000 0.0000 0.0000 x3
6 Te 0.0000 0.5000 0.0000 x9

## Properties
DOS at the Fermi energy in states/eV per atom: 0.466
DFT total energy in eV/atom: -6.099